[1]
DFT (PBE) results for crystalline SrPmMgCd at its relaxed geometry. Values from VASP.

The structure in Quantum ESPRESSO input format:
```
&SYSTEM
  ibrav = 0, nat = 4, ntyp = 4
/
ATOMIC_SPECIES
Mg 24.30 Mg.upf
Sr 87.62 Sr.upf
Pm 145.00 Pm.upf
Cd 112.41 Cd.upf
CELL_PARAMETERS angstrom
-2.4521 -1.4788 -4.8202
-1.5010 -5.3329 -0.8610
-5.4262 -1.4090 -0.0680
ATOMIC_POSITIONS crystal
Mg 0.2500 0.2500 0.2500
Sr 0.0000 0.0000 0.0000
Pm 0.5000 0.5000 0.5000
Cd 0.7500 0.7500 0.7500
```

Properties
E_tot (eV per atom): -2.396
DFT formation energy (eV/f.u.): -0.6
Crystal system: cubic
Polymorph energy (0 for the lowest one) (meV/atom): 32.0
ρ (Mg/m³): 4.9

---

[2]
DFT (PBE) results for crystalline Dy4NiOs at its relaxed geometry. Values from VASP.

The structure in Quantum ESPRESSO input format:
```
&SYSTEM
  ibrav = 0, nat = 12, ntyp = 3
/
ATOMIC_SPECIES
Os 190.23 Os.upf
Dy 162.50 Dy.upf
Ni 58.69 Ni.upf
CELL_PARAMETERS angstrom
-0.2552 5.6995 -3.6606
-3.4314 -3.2894 -4.8823
-5.8321 1.6262 3.0034
ATOMIC_POSITIONS crystal
Os 0.5000 0.5000 0.0000
Os 0.0000 0.0000 0.0000
Dy 0.8391 0.6616 0.1640
Dy 0.3353 0.3334 0.3334
Dy 0.1647 0.8334 0.6666
Dy 0.1609 0.3384 0.8360
Dy 0.6647 0.6666 0.6666
Dy 0.8353 0.1666 0.3334
Dy 0.3391 0.8384 0.1640
Dy 0.6609 0.1616 0.8360
Ni 0.5000 0.0000 0.5000
Ni 0.0000 0.5000 0.5000
```

Properties
E_tot (eV per atom): -6.107
DFT formation energy (eV/f.u.): -1.2
Crystal system: monoclinic
ρ (Mg/m³): 9.6

---

[3]
DFT (PBE) results for crystalline BiRhS2N at its relaxed geometry. Values from VASP.

The structure in Quantum ESPRESSO input format:
```
&SYSTEM
  ibrav = 0, nat = 5, ntyp = 4
/
ATOMIC_SPECIES
Bi 208.98 Bi.upf
S 32.06 S.upf
Rh 102.91 Rh.upf
N 14.01 N.upf
CELL_PARAMETERS angstrom
4.9568 0.0000 0.0000
0.0000 4.9568 0.0000
0.0000 0.0000 3.6902
ATOMIC_POSITIONS crystal
Bi 0.5000 0.5000 0.5000
S 0.0000 0.5000 0.0000
S 0.5000 0.0000 0.0000
Rh 0.0000 0.0000 0.0000
N 0.0000 0.0000 0.5000
```

Properties
E_tot (eV per atom): -5.294
ΔE_f (raw) (eV per atom): 0.27
Crystal system: tetragonal
Polymorph energy (0 for the lowest one) (meV/atom): 0.0
ρ (Mg/m³): 7.1